The following is a PBE calculation of Ba2AlBiO5 after structural relaxation, from Alexandria via LeMat-Bulk.

Cell lengths 3.533, 7.488, 12.368 Å; angles 90.00, 90.00, 103.65 degrees
Fractional coordinates of all 18 atoms:
Ba  0.847  0.694  0.837
Ba  0.088  0.176  0.655
Ba  0.153  0.306  0.337
Ba  0.912  0.824  0.155
Al  0.545  0.091  0.912
Al  0.455  0.909  0.412
Bi  0.803  0.606  0.557
Bi  0.197  0.394  0.057
O  0.337  0.675  0.007
O  0.668  0.335  0.926
O  0.495  0.991  0.782
O  0.269  0.538  0.682
O  0.983  0.966  0.466
O  0.663  0.325  0.507
O  0.332  0.665  0.426
O  0.505  0.009  0.282
O  0.731  0.462  0.182
O  0.017  0.034  0.966

Values from the calculation:
Formation energy (no corrections): -20.74 eV per formula unit
E_tot: -114.01 eV per cell

=====

The following is a PBE calculation of BaGa3Pd3 after structural relaxation, from Alexandria via LeMat-Bulk.

Cell lengths 8.319, 8.319, 8.319 Å; angles 90.00, 90.00, 90.00 degrees
Fractional coordinates of all 28 atoms:
Ba  0.047  0.547  0.953
Ba  0.953  0.047  0.547
Ba  0.453  0.453  0.453
Ba  0.547  0.953  0.047
Ga  0.671  0.558  0.089
Ga  0.942  0.911  0.171
Ga  0.089  0.671  0.558
Ga  0.058  0.411  0.329
Ga  0.329  0.058  0.411
Ga  0.171  0.942  0.911
Ga  0.911  0.171  0.942
Ga  0.442  0.589  0.829
Ga  0.411  0.329  0.058
Ga  0.558  0.089  0.671
Ga  0.829  0.442  0.589
Ga  0.589  0.829  0.442
Pd  0.813  0.313  0.187
Pd  0.874  0.874  0.874
Pd  0.837  0.663  0.337
Pd  0.187  0.813  0.313
Pd  0.163  0.163  0.163
Pd  0.337  0.837  0.663
Pd  0.126  0.374  0.626
Pd  0.313  0.187  0.813
Pd  0.663  0.337  0.837
Pd  0.687  0.687  0.687
Pd  0.626  0.126  0.374
Pd  0.374  0.626  0.126

Values from the calculation:
Formation energy: -346 kJ/mol of formula units
E_tot: -120.69 eV per cell
E above lowest polymorph: 0.000 eV per atom

=====

The following is a PBE calculation of Tl12Se5I3 after structural relaxation, from Alexandria via LeMat-Bulk.

Cell lengths 16.538, 16.538, 16.538 Å; angles 109.47, 109.47, 109.47 degrees
Fractional coordinates of all 80 atoms:
I  0.750  0.375  0.125
I  0.875  0.750  0.125
I  0.375  0.750  0.625
I  0.250  0.125  0.375
I  0.875  0.125  0.250
I  0.375  0.625  0.250
I  0.625  0.375  0.750
I  0.125  0.875  0.750
I  0.750  0.875  0.625
I  0.625  0.250  0.375
I  0.125  0.250  0.875
I  0.250  0.625  0.875
Se  0.125  0.375  0.250
Se  0.000  0.500  0.000
Se  0.000  0.000  0.000
Se  0.375  0.250  0.125
Se  0.500  0.000  0.500
Se  0.500  0.500  0.000
Se  0.125  0.750  0.375
Se  0.750  0.125  0.875
Se  0.750  0.625  0.375
Se  0.375  0.125  0.750
Se  0.625  0.875  0.250
Se  0.500  0.500  0.500
Se  0.500  0.000  0.000
Se  0.000  0.000  0.500
Se  0.250  0.375  0.625
Se  0.250  0.875  0.125
Se  0.000  0.500  0.500
Se  0.875  0.250  0.625
Se  0.625  0.750  0.875
Se  0.875  0.625  0.750
Tl  0.714  0.132  0.041
Tl  0.327  0.541  0.409
Tl  0.959  0.368  0.286
Tl  0.541  0.214  0.132
Tl  0.582  0.714  0.673
Tl  0.959  0.591  0.173
Tl  0.327  0.786  0.418
Tl  0.091  0.918  0.132
Tl  0.591  0.959  0.673
Tl  0.714  0.582  0.173
Tl  0.786  0.459  0.368
Tl  0.827  0.909  0.041
Tl  0.132  0.714  0.541
Tl  0.368  0.409  0.082
Tl  0.082  0.909  0.368
Tl  0.418  0.132  0.591
Tl  0.082  0.173  0.214
Tl  0.459  0.673  0.091
Tl  0.827  0.918  0.286
Tl  0.132  0.418  0.091
Tl  0.368  0.959  0.786
Tl  0.591  0.632  0.418
Tl  0.909  0.827  0.541
Tl  0.786  0.327  0.918
Tl  0.409  0.368  0.582
Tl  0.091  0.173  0.459
Tl  0.214  0.673  0.082
Tl  0.173  0.082  0.714
Tl  0.632  0.041  0.214
Tl  0.868  0.582  0.909
Tl  0.541  0.327  0.909
Tl  0.582  0.868  0.409
Tl  0.918  0.827  0.786
Tl  0.918  0.091  0.632
Tl  0.868  0.286  0.459
Tl  0.173  0.091  0.959
Tl  0.632  0.591  0.918
Tl  0.409  0.041  0.327
Tl  0.286  0.418  0.827
Tl  0.214  0.541  0.632
Tl  0.909  0.082  0.868
Tl  0.673  0.214  0.582
Tl  0.459  0.786  0.868
Tl  0.041  0.409  0.827
Tl  0.418  0.286  0.327
Tl  0.041  0.632  0.714
Tl  0.673  0.459  0.591
Tl  0.286  0.868  0.959

Values from the calculation:
Formation energy (no corrections): -6.76 eV per formula unit
E_tot: -228.93 eV per cell

=====

Number 1: total magnetic moment 0.0 Bohr magnetons per cell. Number 2: total magnetic moment 0.0 Bohr magnetons per cell. Number 3: total magnetic moment 0.0 Bohr magnetons per cell.